VASP calculation (GGA-PBE) on a geometry-optimized Tl4TcMo structure.

Properties
Its formation enthalpy at 0 K is 821 kJ/mol of formula units. Its total magnetic moment is 6.8 μB per formula unit. Its space group is No. 216.

```
data_Tl4TcMo
_space_group_name_H-M_alt 'P 1'
_space_group_IT_number 1
_space_group_name_Hall 'P 1'
_cell_length_a 6.039
_cell_length_b 6.039
_cell_length_c 6.039
_cell_angle_alpha 60.00
_cell_angle_beta 60.00
_cell_angle_gamma 60.00
loop_
_atom_site_label
_atom_site_fract_x
_atom_site_fract_y
_atom_site_fract_z
Tl1 0.375 0.875 0.375
Tl2 0.875 0.375 0.375
Tl3 0.375 0.375 0.875
Tl4 0.375 0.375 0.375
Tc1 0.000 0.000 0.000
Mo1 0.750 0.750 0.750
```

---

VASP calculation (GGA-PBE) on a geometry-optimized K2CaTl2 structure.

Properties
Its formation enthalpy at 0 K is 8 kJ/mol of formula units. Its total magnetic moment is 0.0 μB per formula unit. Its space group is No. 139.

```
data_K2CaTl2
_space_group_name_H-M_alt 'P 1'
_space_group_IT_number 1
_space_group_name_Hall 'P 1'
_cell_length_a 4.774
_cell_length_b 4.774
_cell_length_c 9.061
_cell_angle_alpha 74.73
_cell_angle_beta 74.73
_cell_angle_gamma 90.00
loop_
_atom_site_label
_atom_site_fract_x
_atom_site_fract_y
_atom_site_fract_z
K1 0.750 0.250 0.500
K2 0.250 0.750 0.500
Tl1 0.409 0.409 0.181
Tl2 0.591 0.591 0.819
Ca1 0.000 0.000 0.000
```

---

VASP calculation (GGA-PBE) on a geometry-optimized KSn5Br11 structure.

Properties
The total energy is -3.172 eV per atom. Its total magnetic moment is 0.0 μB per formula unit. Its space group is No. 12.

```
data_KSn5Br11
_space_group_name_H-M_alt 'P 1'
_space_group_IT_number 1
_space_group_name_Hall 'P 1'
_cell_length_a 9.434
_cell_length_b 9.229
_cell_length_c 9.229
_cell_angle_alpha 117.69
_cell_angle_beta 98.08
_cell_angle_gamma 98.08
loop_
_atom_site_label
_atom_site_fract_x
_atom_site_fract_y
_atom_site_fract_z
K1 0.000 0.000 0.000
Sn1 0.654 0.063 0.357
Sn2 0.346 0.937 0.643
Sn3 0.346 0.643 0.937
Sn4 0.654 0.357 0.063
Sn5 0.000 0.500 0.500
Br1 0.333 0.580 0.580
Br2 0.667 0.420 0.420
Br3 0.679 0.133 0.702
Br4 0.321 0.867 0.298
Br5 0.321 0.298 0.867
Br6 0.679 0.702 0.133
Br7 0.500 0.000 0.000
Br8 0.036 0.867 0.609
Br9 0.964 0.133 0.391
Br10 0.964 0.391 0.133
Br11 0.036 0.609 0.867
```

---

VASP calculation (GGA-PBE) on a geometry-optimized CeTmPd structure.

Properties
Its formation enthalpy at 0 K is -133 kJ/mol of formula units. Its total magnetic moment is 1.5 μB per formula unit. Its space group is No. 107.

```
data_CeTmPd
_space_group_name_H-M_alt 'P 1'
_space_group_IT_number 1
_space_group_name_Hall 'P 1'
_cell_length_a 3.504
_cell_length_b 3.504
_cell_length_c 6.637
_cell_angle_alpha 105.31
_cell_angle_beta 105.31
_cell_angle_gamma 90.00
loop_
_atom_site_label
_atom_site_fract_x
_atom_site_fract_y
_atom_site_fract_z
Tm1 0.303 0.303 0.607
Ce1 0.021 0.021 0.041
Pd1 0.676 0.676 0.352
```

---

VASP calculation (GGA-PBE) on a geometry-optimized TmAgS2O8 structure.

Properties
The total energy is -6.340 eV per atom. Its total magnetic moment is 0.0 μB per formula unit. Its space group is No. 148.

```
data_TmAgS2O8
_space_group_name_H-M_alt 'P 1'
_space_group_IT_number 1
_space_group_name_Hall 'P 1'
_cell_length_a 5.041
_cell_length_b 5.041
_cell_length_c 8.132
_cell_angle_alpha 71.95
_cell_angle_beta 71.95
_cell_angle_gamma 60.00
loop_
_atom_site_label
_atom_site_fract_x
_atom_site_fract_y
_atom_site_fract_z
Tm1 0.000 0.000 0.000
Ag1 0.500 0.500 0.500
S1 0.251 0.251 0.247
S2 0.749 0.749 0.753
O1 0.187 0.187 0.439
O2 0.561 0.256 0.177
O3 0.813 0.813 0.561
O4 0.006 0.561 0.177
O5 0.994 0.439 0.823
O6 0.256 0.006 0.177
O7 0.744 0.994 0.823
O8 0.439 0.744 0.823
```

---

VASP calculation (GGA-PBE) on a geometry-optimized SrPr5Bi4 structure.

Properties
Its formation enthalpy at 0 K is -466 kJ/mol of formula units. Its total magnetic moment is 0.0 μB per formula unit. Its space group is No. 59.

```
data_SrPr5Bi4
_space_group_name_H-M_alt 'P 1'
_space_group_IT_number 1
_space_group_name_Hall 'P 1'
_cell_length_a 6.369
_cell_length_b 11.155
_cell_length_c 10.906
_cell_angle_alpha 90.00
_cell_angle_beta 90.00
_cell_angle_gamma 90.00
loop_
_atom_site_label
_atom_site_fract_x
_atom_site_fract_y
_atom_site_fract_z
Sr1 0.501 0.000 0.000
Sr2 0.499 0.500 0.500
Pr1 0.245 0.750 0.750
Pr2 0.245 0.250 0.750
Pr3 0.998 0.500 0.000
Pr4 0.245 0.750 0.250
Pr5 0.245 0.250 0.250
Pr6 0.755 0.750 0.250
Pr7 0.755 0.250 0.250
Pr8 0.002 0.000 0.500
Pr9 0.755 0.250 0.750
Pr10 0.755 0.750 0.750
Bi1 0.000 0.000 0.813
Bi2 0.500 0.669 0.000
Bi3 0.500 0.331 0.000
Bi4 0.000 0.000 0.187
Bi5 0.000 0.500 0.313
Bi6 0.500 0.831 0.500
Bi7 0.500 0.169 0.500
Bi8 0.000 0.500 0.687
```

---

VASP calculation (GGA-PBE) on a geometry-optimized GeOs3N structure.

Properties
The total energy is -8.488 eV per atom. Its total magnetic moment is 0.0 μB per formula unit. Its space group is No. 221.

```
data_GeOs3N
_space_group_name_H-M_alt 'P 1'
_space_group_IT_number 1
_space_group_name_Hall 'P 1'
_cell_length_a 4.072
_cell_length_b 4.072
_cell_length_c 4.072
_cell_angle_alpha 90.00
_cell_angle_beta 90.00
_cell_angle_gamma 90.00
loop_
_atom_site_label
_atom_site_fract_x
_atom_site_fract_y
_atom_site_fract_z
Ge1 0.500 0.500 0.500
Os1 0.000 0.500 0.000
Os2 0.000 0.000 0.500
Os3 0.500 0.000 0.000
N1 0.000 0.000 0.000
```

---

VASP calculation (GGA-PBE) on a geometry-optimized Ca6Tl2Au structure.

Properties
Its formation enthalpy at 0 K is -376 kJ/mol of formula units. Its total magnetic moment is 0.0 μB per formula unit. Its space group is No. 58.

```
data_Ca6Tl2Au
_space_group_name_H-M_alt 'P 1'
_space_group_IT_number 1
_space_group_name_Hall 'P 1'
_cell_length_a 5.378
_cell_length_b 10.253
_cell_length_c 10.250
_cell_angle_alpha 90.00
_cell_angle_beta 90.00
_cell_angle_gamma 90.00
loop_
_atom_site_label
_atom_site_fract_x
_atom_site_fract_y
_atom_site_fract_z
Ca1 0.000 0.035 0.199
Ca2 0.000 0.699 0.534
Ca3 0.000 0.616 0.883
Ca4 0.500 0.116 0.617
Ca5 0.500 0.199 0.966
Ca6 0.500 0.535 0.301
Ca7 0.000 0.965 0.801
Ca8 0.000 0.301 0.466
Ca9 0.000 0.384 0.117
Ca10 0.500 0.884 0.383
Ca11 0.500 0.801 0.034
Ca12 0.500 0.465 0.699
Tl1 0.000 0.286 0.787
Tl2 0.500 0.786 0.713
Tl3 0.500 0.214 0.287
Tl4 0.000 0.714 0.213
Au1 0.500 0.500 0.000
Au2 0.000 0.000 0.500
```